Compound: AcMn2CdO8
Source: Alexandria via LeMat-Bulk
Functional: PBE+U
Structure: relaxed

Summary:
Raw total energy in eV/atom: -6.29
Calculated volume in Å³/f.u.: 201.7
Total magnetic moment in μB/cell: 3.00
N(E_F) in states/eV/f.u.: 6.77

Cell lengths 5.842, 5.842, 6.824 Å; angles 90.00, 90.00, 120.00 degrees
Sites, in units of the cell vectors:
Ac (0.000, 0.000, 0.000)
Mn (0.333, 0.667, 0.345)
Mn (0.667, 0.333, 0.655)
Cd (0.000, 0.000, 0.500)
O (0.172, 0.344, 0.261)
O (0.172, 0.828, 0.261)
O (0.333, 0.667, 0.582)
O (0.344, 0.172, 0.739)
O (0.656, 0.828, 0.261)
O (0.667, 0.333, 0.418)
O (0.828, 0.172, 0.739)
O (0.828, 0.656, 0.739)